RbCrCdF6: optimized geometry, GGA+U.

## Properties
Calculated total energy in eV per atom: -4.901
Crystal system: orthorhombic
DOS at the Fermi energy in states/eV/f.u.: 0.00

a = 7.4661 Å, b = 7.4661 Å, c = 7.4661 Å
α = 119.07°, β = 119.03°, γ = 91.65°
Sites, in units of the cell vectors:
Rb 0.3520 0.1020 0.2500
Rb 0.6480 0.8980 0.7500
Cr 0.0000 0.0000 0.5000
Cr 0.0000 0.5000 0.0000
Cd 0.0000 0.5000 0.5000
Cd 0.5000 0.5000 0.0000
F 0.0377 0.2877 0.7500
F 0.0488 0.3546 0.1664
F 0.0488 0.8824 0.6942
F 0.3118 0.1176 0.6664
F 0.3118 0.6454 0.1942
F 0.3552 0.6052 0.7500
F 0.6448 0.3948 0.2500
F 0.6882 0.3546 0.8058
F 0.6882 0.8824 0.3336
F 0.9512 0.1176 0.3058
F 0.9512 0.6454 0.8336
F 0.9623 0.7123 0.2500